Record 1
A plane-wave DFT calculation with GGA-PBE was carried out for a relaxed LiHfAl4 crystal.

The structure in POSCAR format:
```
LiHfAl4
1.0
-3.752 -2.145 -3.086
-1.346 -5.101 0.612
-4.727 -1.270 2.061
Hf Al Li
1 4 1
Direct
0.000 0.000 0.000
0.124 0.625 0.625
0.625 0.625 0.625
0.625 0.625 0.124
0.625 0.124 0.625
0.250 0.250 0.250
```

Properties
The formation enthalpy at 0 K comes out at -91 kJ/mol of formula units. The total energy is -4.63 eV/atom. The mass density is 4.60 g/cm³.

=====

Record 2
A plane-wave DFT calculation with GGA-PBE was carried out for a relaxed La3ZnN crystal.

The structure in POSCAR format:
```
La3ZnN
1.0
-7.243 -2.536 -0.116
2.393 -6.050 1.154
-3.680 -0.611 5.048
La N Zn
6 2 2
Direct
0.643 0.136 0.325
0.101 0.398 0.187
0.088 0.078 0.702
0.656 0.456 0.809
0.337 0.565 0.517
0.407 0.969 0.994
0.372 0.267 0.756
0.372 0.267 0.256
0.920 0.854 0.407
0.824 0.681 0.104
```

Properties
The energy above the most stable polymorph in this dataset comes out at 87 meV/atom. Its uncorrected formation energy is -58.8 kJ/mol of atoms. The total energy is -5.49 eV/atom. The mass density is 6.33 g/cm³.

=====

Repeat the first record exactly.
A plane-wave DFT calculation with GGA-PBE was carried out for a relaxed LiHfAl4 crystal.

The structure in POSCAR format:
```
LiHfAl4
1.0
-3.752 -2.145 -3.086
-1.346 -5.101 0.612
-4.727 -1.270 2.061
Hf Al Li
1 4 1
Direct
0.000 0.000 0.000
0.124 0.625 0.625
0.625 0.625 0.625
0.625 0.625 0.124
0.625 0.124 0.625
0.250 0.250 0.250
```

Properties
The formation enthalpy at 0 K comes out at -91 kJ/mol of formula units. The total energy is -4.63 eV/atom. The mass density is 4.60 g/cm³.